Mn2Nb2ZnO9: relaxed, PBE+U.

space-group type	P-6c2
electronic total energy	-0.5671	Ry per atom

Unit cell a=5.2558 b=5.2558 c=14.0972 alpha=90.00 beta=90.00 gamma=120.00
Closest atoms and distances in Å follow each position.
Element x y z (fractional)
Mn (0.3333, 0.6667, 0.0060)  6 O 1.96
Mn (0.3333, 0.6667, 0.5060)  6 O 1.96
Mn (0.6667, 0.3333, 0.0062)  6 O 2.19
Mn (0.6667, 0.3333, 0.5062)  6 O 2.19
Nb (0.0000, 0.0000, 0.6502)  6 O 1.99-2.08
Nb (0.0000, 0.0000, 0.1502)  6 O 1.99-2.08
Nb (0.0000, 0.0000, 0.8620)  6 O 1.99-2.08
Nb (0.0000, 0.0000, 0.3620)  6 O 1.99-2.08
Zn (0.3333, 0.6667, 0.2560)  3 O 1.89
Zn (0.3333, 0.6667, 0.7560)  3 O 1.89
O (0.6508, 0.6852, 0.5838)  2 Mn 1.96-2.19, 1 Nb 1.99
O (0.0108, 0.7309, 0.7561)  1 Zn 1.89, 2 Nb 2.08
O (0.6508, 0.9657, 0.4283)  2 Mn 1.96-2.19, 1 Nb 1.99
O (0.3149, 0.3492, 0.4283)  2 Mn 1.96-2.19, 1 Nb 1.99
O (0.0344, 0.3492, 0.5838)  2 Mn 1.96-2.19, 1 Nb 1.99
O (0.7201, 0.7309, 0.2561)  1 Zn 1.89, 2 Nb 2.08
O (0.0343, 0.3492, 0.9283)  2 Mn 1.96-2.19, 1 Nb 1.99
O (0.3148, 0.9656, 0.5838)  2 Mn 1.96-2.19, 1 Nb 1.99
O (0.3148, 0.3492, 0.0838)  2 Mn 1.96-2.19, 1 Nb 1.99
O (0.0343, 0.6851, 0.4283)  2 Mn 1.96-2.19, 1 Nb 1.99
O (0.6508, 0.6851, 0.9283)  2 Mn 1.96-2.19, 1 Nb 1.99
O (0.6508, 0.9656, 0.0838)  2 Mn 1.96-2.19, 1 Nb 1.99
O (0.7201, 0.9892, 0.7561)  1 Zn 1.89, 2 Nb 2.08
O (0.2691, 0.2799, 0.7561)  1 Zn 1.89, 2 Nb 2.08
O (0.2691, 0.9892, 0.2561)  1 Zn 1.89, 2 Nb 2.08
O (0.0344, 0.6852, 0.0838)  2 Mn 1.96-2.19, 1 Nb 1.99
O (0.0108, 0.2799, 0.2561)  1 Zn 1.89, 2 Nb 2.08
O (0.3149, 0.9657, 0.9283)  2 Mn 1.96-2.19, 1 Nb 1.99